Entry 1:
The following is a meta-GGA SCAN calculation of a crystal of CoBi2S relaxed with PBEsol, from Alexandria via LeMat-Bulk.

Geometry as CIF:
```
data_CoBi2S
_chemical_formula_sum 'Co4 Bi8 S4'
_cell_length_a 6.008
_cell_length_b 6.008
_cell_length_c 12.062
_cell_angle_alpha 90.00
_cell_angle_beta 90.00
_cell_angle_gamma 90.00
_space_group_name_H-M_alt 'P 1'
_space_group_IT_number 1
_space_group_name_Hall 'P 1'
loop_
_atom_site_label
_atom_site_type_symbol
_atom_site_fract_x
_atom_site_fract_y
_atom_site_fract_z
Co1 Co 0.000 0.000 0.000
Co2 Co 0.000 0.500 0.250
Co3 Co 0.500 0.000 0.750
Co4 Co 0.500 0.500 0.500
Bi1 Bi 0.199 0.250 0.125
Bi2 Bi 0.250 0.699 0.375
Bi3 Bi 0.250 0.801 0.875
Bi4 Bi 0.301 0.250 0.625
Bi5 Bi 0.699 0.750 0.625
Bi6 Bi 0.750 0.199 0.875
Bi7 Bi 0.750 0.301 0.375
Bi8 Bi 0.801 0.750 0.125
S1 S 0.000 0.000 0.500
S2 S 0.000 0.500 0.750
S3 S 0.500 0.000 0.250
S4 S 0.500 0.500 0.000
```

Values from the calculation:
raw formation energy	421	meV per atom

---

Entry 2:
The following is a meta-GGA SCAN calculation of a crystal of Co2SnBiS relaxed with PBEsol, from Alexandria via LeMat-Bulk.

Geometry as CIF:
```
data_Co2SnBiS
_chemical_formula_sum 'Co2 Sn1 Bi1 S1'
_cell_length_a 4.674
_cell_length_b 4.674
_cell_length_c 5.761
_cell_angle_alpha 90.00
_cell_angle_beta 90.00
_cell_angle_gamma 90.00
_space_group_name_H-M_alt 'P 1'
_space_group_IT_number 1
_space_group_name_Hall 'P 1'
loop_
_atom_site_label
_atom_site_type_symbol
_atom_site_fract_x
_atom_site_fract_y
_atom_site_fract_z
Co1 Co 0.000 0.500 0.000
Co2 Co 0.500 0.000 0.000
Sn1 Sn 0.000 0.000 0.000
Bi1 Bi 0.000 0.000 0.500
S1 S 0.500 0.500 0.500
```

Values from the calculation:
raw formation energy	1100	meV per atom

---

Entry 3:
The following is a meta-GGA SCAN calculation of a crystal of CoBi2Sb relaxed with PBEsol, from Alexandria via LeMat-Bulk.

Geometry as CIF:
```
data_CoBi2Sb
_chemical_formula_sum 'Co4 Bi8 Sb4'
_cell_length_a 6.299
_cell_length_b 6.299
_cell_length_c 12.381
_cell_angle_alpha 90.00
_cell_angle_beta 90.00
_cell_angle_gamma 90.00
_space_group_name_H-M_alt 'P 1'
_space_group_IT_number 1
_space_group_name_Hall 'P 1'
loop_
_atom_site_label
_atom_site_type_symbol
_atom_site_fract_x
_atom_site_fract_y
_atom_site_fract_z
Co1 Co 0.000 0.000 0.000
Co2 Co 0.000 0.500 0.250
Co3 Co 0.500 0.000 0.750
Co4 Co 0.500 0.500 0.500
Bi1 Bi 0.176 0.250 0.125
Bi2 Bi 0.250 0.676 0.375
Bi3 Bi 0.250 0.824 0.875
Bi4 Bi 0.324 0.250 0.625
Bi5 Bi 0.676 0.750 0.625
Bi6 Bi 0.750 0.176 0.875
Bi7 Bi 0.750 0.324 0.375
Bi8 Bi 0.824 0.750 0.125
Sb1 Sb 0.000 0.000 0.500
Sb2 Sb 0.000 0.500 0.750
Sb3 Sb 0.500 0.000 0.250
Sb4 Sb 0.500 0.500 0.000
```

Values from the calculation:
raw formation energy	473	meV per atom

---

Entry 4:
The following is a meta-GGA SCAN calculation of a crystal of Sc2ZnCoBi relaxed with PBEsol, from Alexandria via LeMat-Bulk.

Geometry as CIF:
```
data_Sc2ZnCoBi
_chemical_formula_sum 'Sc2 Zn1 Co1 Bi1'
_cell_length_a 5.382
_cell_length_b 5.382
_cell_length_c 4.913
_cell_angle_alpha 90.00
_cell_angle_beta 90.00
_cell_angle_gamma 90.00
_space_group_name_H-M_alt 'P 1'
_space_group_IT_number 1
_space_group_name_Hall 'P 1'
loop_
_atom_site_label
_atom_site_type_symbol
_atom_site_fract_x
_atom_site_fract_y
_atom_site_fract_z
Sc1 Sc 0.000 0.500 0.000
Sc2 Sc 0.500 0.000 0.000
Zn1 Zn 0.000 0.000 0.500
Co1 Co 0.500 0.500 0.500
Bi1 Bi 0.000 0.000 0.000
```

Values from the calculation:
ΔE_f	0.891	eV per atom

---

Entry 5:
The following is a meta-GGA SCAN calculation of a crystal of Co2BiSe relaxed with PBEsol, from Alexandria via LeMat-Bulk.

Geometry as CIF:
```
data_Co2BiSe
_chemical_formula_sum 'Co8 Bi4 Se4'
_cell_length_a 6.325
_cell_length_b 6.325
_cell_length_c 6.325
_cell_angle_alpha 90.00
_cell_angle_beta 90.00
_cell_angle_gamma 90.00
_space_group_name_H-M_alt 'P 1'
_space_group_IT_number 1
_space_group_name_Hall 'P 1'
loop_
_atom_site_label
_atom_site_type_symbol
_atom_site_fract_x
_atom_site_fract_y
_atom_site_fract_z
Co1 Co 0.250 0.250 0.250
Co2 Co 0.250 0.250 0.750
Co3 Co 0.250 0.750 0.250
Co4 Co 0.250 0.750 0.750
Co5 Co 0.750 0.250 0.250
Co6 Co 0.750 0.250 0.750
Co7 Co 0.750 0.750 0.250
Co8 Co 0.750 0.750 0.750
Bi1 Bi 0.000 0.000 0.000
Bi2 Bi 0.000 0.500 0.500
Bi3 Bi 0.500 0.000 0.500
Bi4 Bi 0.500 0.500 0.000
Se1 Se 0.000 0.000 0.500
Se2 Se 0.000 0.500 0.000
Se3 Se 0.500 0.000 0.000
Se4 Se 0.500 0.500 0.500
```

Values from the calculation:
raw formation energy	613	meV per atom

---

Entry 6:
The following is a meta-GGA SCAN calculation of a crystal of Sr2CoBi relaxed with PBEsol, from Alexandria via LeMat-Bulk.

Geometry as CIF:
```
data_Sr2CoBi
_chemical_formula_sum 'Sr8 Co4 Bi4'
_cell_length_a 10.918
_cell_length_b 10.918
_cell_length_c 4.865
_cell_angle_alpha 90.00
_cell_angle_beta 90.00
_cell_angle_gamma 90.00
_space_group_name_H-M_alt 'P 1'
_space_group_IT_number 1
_space_group_name_Hall 'P 1'
loop_
_atom_site_label
_atom_site_type_symbol
_atom_site_fract_x
_atom_site_fract_y
_atom_site_fract_z
Sr1 Sr 0.077 0.250 0.125
Sr2 Sr 0.250 0.577 0.375
Sr3 Sr 0.250 0.923 0.875
Sr4 Sr 0.423 0.250 0.625
Sr5 Sr 0.577 0.750 0.625
Sr6 Sr 0.750 0.077 0.875
Sr7 Sr 0.750 0.423 0.375
Sr8 Sr 0.923 0.750 0.125
Co1 Co 0.000 0.000 0.000
Co2 Co 0.000 0.500 0.250
Co3 Co 0.500 0.000 0.750
Co4 Co 0.500 0.500 0.500
Bi1 Bi 0.000 0.000 0.500
Bi2 Bi 0.000 0.500 0.750
Bi3 Bi 0.500 0.000 0.250
Bi4 Bi 0.500 0.500 0.000
```

Values from the calculation:
ΔE_f	-0.005	eV per atom

---

Entry 7:
The following is a meta-GGA SCAN calculation of a crystal of Tb5CoBi2 relaxed with PBEsol, from Alexandria via LeMat-Bulk.

Geometry as CIF:
```
data_Tb5CoBi2
_chemical_formula_sum 'Tb20 Co4 Bi8'
_cell_length_a 12.250
_cell_length_b 8.761
_cell_length_c 7.894
_cell_angle_alpha 90.00
_cell_angle_beta 90.00
_cell_angle_gamma 90.00
_space_group_name_H-M_alt 'P 1'
_space_group_IT_number 1
_space_group_name_Hall 'P 1'
loop_
_atom_site_label
_atom_site_type_symbol
_atom_site_fract_x
_atom_site_fract_y
_atom_site_fract_z
Tb1 Tb 0.002 0.250 0.048
Tb2 Tb 0.062 0.537 0.322
Tb3 Tb 0.062 0.963 0.322
Tb4 Tb 0.191 0.250 0.615
Tb5 Tb 0.198 0.750 0.649
Tb6 Tb 0.302 0.250 0.149
Tb7 Tb 0.309 0.750 0.115
Tb8 Tb 0.438 0.037 0.822
Tb9 Tb 0.438 0.463 0.822
Tb10 Tb 0.498 0.750 0.548
Tb11 Tb 0.502 0.250 0.452
Tb12 Tb 0.562 0.537 0.178
Tb13 Tb 0.562 0.963 0.178
Tb14 Tb 0.691 0.250 0.885
Tb15 Tb 0.698 0.750 0.851
Tb16 Tb 0.802 0.250 0.351
Tb17 Tb 0.809 0.750 0.385
Tb18 Tb 0.938 0.037 0.678
Tb19 Tb 0.938 0.463 0.678
Tb20 Tb 0.998 0.750 0.952
Co1 Co 0.010 0.250 0.432
Co2 Co 0.490 0.750 0.932
Co3 Co 0.510 0.250 0.068
Co4 Co 0.990 0.750 0.568
Bi1 Bi 0.174 0.009 0.925
Bi2 Bi 0.174 0.491 0.925
Bi3 Bi 0.326 0.509 0.425
Bi4 Bi 0.326 0.991 0.425
Bi5 Bi 0.674 0.009 0.575
Bi6 Bi 0.674 0.491 0.575
Bi7 Bi 0.826 0.509 0.075
Bi8 Bi 0.826 0.991 0.075
```

Values from the calculation:
ΔE_f	-0.622	eV per atom

---

Entry 8:
The following is a meta-GGA SCAN calculation of a crystal of TiCoTcBi2 relaxed with PBEsol, from Alexandria via LeMat-Bulk.

Geometry as CIF:
```
data_TiCoTcBi2
_chemical_formula_sum 'Ti1 Co1 Tc1 Bi2'
_cell_length_a 4.941
_cell_length_b 4.941
_cell_length_c 4.234
_cell_angle_alpha 90.00
_cell_angle_beta 90.00
_cell_angle_gamma 90.00
_space_group_name_H-M_alt 'P 1'
_space_group_IT_number 1
_space_group_name_Hall 'P 1'
loop_
_atom_site_label
_atom_site_type_symbol
_atom_site_fract_x
_atom_site_fract_y
_atom_site_fract_z
Ti1 Ti 0.000 0.000 0.000
Co1 Co 0.000 0.000 0.500
Tc1 Tc 0.500 0.500 0.000
Bi1 Bi 0.000 0.500 0.500
Bi2 Bi 0.500 0.000 0.500
```

Values from the calculation:
ΔE_f	0.955	eV per atom

---

Entry 9:
The following is a meta-GGA SCAN calculation of a crystal of Ti3CoBi relaxed with PBEsol, from Alexandria via LeMat-Bulk.

Geometry as CIF:
```
data_Ti3CoBi
_chemical_formula_sum 'Ti3 Co1 Bi1'
_cell_length_a 4.499
_cell_length_b 4.499
_cell_length_c 4.499
_cell_angle_alpha 90.00
_cell_angle_beta 90.00
_cell_angle_gamma 90.00
_space_group_name_H-M_alt 'P 1'
_space_group_IT_number 1
_space_group_name_Hall 'P 1'
loop_
_atom_site_label
_atom_site_type_symbol
_atom_site_fract_x
_atom_site_fract_y
_atom_site_fract_z
Ti1 Ti 0.000 0.000 0.500
Ti2 Ti 0.000 0.500 0.000
Ti3 Ti 0.500 0.000 0.000
Co1 Co 0.000 0.000 0.000
Bi1 Bi 0.500 0.500 0.500
```

Values from the calculation:
ΔE_f	-0.066	eV per atom

---

Entry 10:
The following is a meta-GGA SCAN calculation of a crystal of Ti4CoBi2 relaxed with PBEsol, from Alexandria via LeMat-Bulk.

Geometry as CIF:
```
data_Ti4CoBi2
_chemical_formula_sum 'Ti8 Co2 Bi4'
_cell_length_a 7.757
_cell_length_b 7.757
_cell_length_c 7.757
_cell_angle_alpha 95.50
_cell_angle_beta 95.50
_cell_angle_gamma 143.93
_space_group_name_H-M_alt 'P 1'
_space_group_IT_number 1
_space_group_name_Hall 'P 1'
loop_
_atom_site_label
_atom_site_type_symbol
_atom_site_fract_x
_atom_site_fract_y
_atom_site_fract_z
Ti1 Ti 0.081 0.806 0.887
Ti2 Ti 0.194 0.081 0.274
Ti3 Ti 0.306 0.581 0.887
Ti4 Ti 0.419 0.306 0.726
Ti5 Ti 0.581 0.694 0.274
Ti6 Ti 0.694 0.419 0.113
Ti7 Ti 0.806 0.919 0.726
Ti8 Ti 0.919 0.194 0.113
Co1 Co 0.250 0.250 0.000
Co2 Co 0.750 0.750 0.000
Bi1 Bi 0.139 0.361 0.500
Bi2 Bi 0.361 0.861 0.223
Bi3 Bi 0.639 0.139 0.777
Bi4 Bi 0.861 0.639 0.500
```

Values from the calculation:
ΔE_f	-0.368	eV per atom

---

Entry 11:
The following is a meta-GGA SCAN calculation of a crystal of Ti2Co2Bi relaxed with PBEsol, from Alexandria via LeMat-Bulk.

Geometry as CIF:
```
data_Ti2Co2Bi
_chemical_formula_sum 'Ti4 Co4 Bi2'
_cell_length_a 3.406
_cell_length_b 3.406
_cell_length_c 14.592
_cell_angle_alpha 90.00
_cell_angle_beta 90.00
_cell_angle_gamma 90.00
_space_group_name_H-M_alt 'P 1'
_space_group_IT_number 1
_space_group_name_Hall 'P 1'
loop_
_atom_site_label
_atom_site_type_symbol
_atom_site_fract_x
_atom_site_fract_y
_atom_site_fract_z
Ti1 Ti 0.000 0.000 0.138
Ti2 Ti 0.000 0.000 0.862
Ti3 Ti 0.500 0.500 0.362
Ti4 Ti 0.500 0.500 0.638
Co1 Co 0.000 0.500 0.250
Co2 Co 0.000 0.500 0.750
Co3 Co 0.500 0.000 0.250
Co4 Co 0.500 0.000 0.750
Bi1 Bi 0.000 0.000 0.500
Bi2 Bi 0.500 0.500 0.000
```

Values from the calculation:
ΔE_f	0.073	eV per atom

---

Entry 12:
The following is a meta-GGA SCAN calculation of a crystal of TiCo2Bi relaxed with PBEsol, from Alexandria via LeMat-Bulk.

Geometry as CIF:
```
data_TiCo2Bi
_chemical_formula_sum 'Ti4 Co8 Bi4'
_cell_length_a 4.077
_cell_length_b 4.077
_cell_length_c 16.128
_cell_angle_alpha 90.00
_cell_angle_beta 90.00
_cell_angle_gamma 90.00
_space_group_name_H-M_alt 'P 1'
_space_group_IT_number 1
_space_group_name_Hall 'P 1'
loop_
_atom_site_label
_atom_site_type_symbol
_atom_site_fract_x
_atom_site_fract_y
_atom_site_fract_z
Ti1 Ti 0.000 0.000 0.000
Ti2 Ti 0.000 0.500 0.250
Ti3 Ti 0.500 0.000 0.750
Ti4 Ti 0.500 0.500 0.500
Co1 Co 0.177 0.250 0.125
Co2 Co 0.250 0.677 0.375
Co3 Co 0.250 0.823 0.875
Co4 Co 0.323 0.250 0.625
Co5 Co 0.677 0.750 0.625
Co6 Co 0.750 0.177 0.875
Co7 Co 0.750 0.323 0.375
Co8 Co 0.823 0.750 0.125
Bi1 Bi 0.000 0.000 0.500
Bi2 Bi 0.000 0.500 0.750
Bi3 Bi 0.500 0.000 0.250
Bi4 Bi 0.500 0.500 0.000
```

Values from the calculation:
ΔE_f	0.551	eV per atom

---

| no. | E (eV per atom) |
| --- | --- |
| 1 | -45.602 |
| 2 | -30.648 |
| 3 | -52.458 |
| 4 | -26.684 |
| 5 | -32.704 |
| 6 | -35.114 |
| 7 | -51.657 |
| 8 | -44.156 |
| 9 | -28.860 |
| 10 | -34.451 |
| 11 | -28.976 |
| 12 | -31.753 |